#A
Here is a geometry-optimized TlReTc2 structure from Alexandria via LeMat-Bulk. Energies are from PBEsol.

Lattice parameters (Å, degrees): 3.224 4.381 5.212 114.85 108.02 90.00
Sites, in units of the cell vectors:
Tc 0.255 0.255 0.510
Tc 0.745 0.745 0.490
Re 0.000 0.500 0.000
Tl 0.500 0.000 0.000

## Properties
Mass density in kg/m³: 15511
SG: No. 71

#B
Here is a geometry-optimized TlReTc2 structure from Alexandria via LeMat-Bulk. Energies are from PBEsol.

Lattice parameters (Å, degrees): 2.786 2.786 9.319 90.00 90.00 116.56
Sites, in units of the cell vectors:
Tl 0.000 0.000 0.503
Tc 0.000 0.000 0.998
Tc 0.500 0.500 0.770
Re 0.500 0.500 0.229

## Properties
Mass density in kg/m³: 15059
SG: No. 35

The structure with the greatest stability is #B.

#A
Here is a geometry-optimized ReTe structure from Alexandria via LeMat-Bulk. Energies are from PBEsol.

Lattice parameters (Å, degrees): 3.118 3.118 4.391 90.00 90.00 118.82
Sites, in units of the cell vectors:
Re 0.000 0.000 0.000
Te 0.500 0.500 0.500

## Properties
Mass density in kg/m³: 13929
SG: No. 65

#B
Here is a geometry-optimized ReTe structure from Alexandria via LeMat-Bulk. Energies are from PBEsol.

Lattice parameters (Å, degrees): 4.175 4.120 6.599 108.48 90.00 120.44
Sites, in units of the cell vectors:
Te 0.405 0.810 0.206
Te 0.595 0.190 0.794
Re 0.847 0.695 0.546
Re 0.153 0.305 0.454

## Properties
Mass density in kg/m³: 11452
SG: No. 12

#C
Here is a geometry-optimized ReTe structure from Alexandria via LeMat-Bulk. Energies are from PBEsol.

Lattice parameters (Å, degrees): 3.086 6.716 6.760 105.06 103.19 90.00
Sites, in units of the cell vectors:
Te 0.038 0.700 0.076
Te 0.316 0.911 0.632
Te 0.251 0.381 0.501
Re 0.996 0.087 0.993
Re 0.654 0.044 0.309
Re 0.578 0.378 0.156

## Properties
Mass density in kg/m³: 11893
SG: No. 8

The structure with the greatest stability is #B.

#A
Here is a geometry-optimized TlReTe2 structure from Alexandria via LeMat-Bulk. Energies are from PBEsol.

Lattice parameters (Å, degrees): 3.255 3.255 9.862 99.50 99.50 90.00
Sites, in units of the cell vectors:
Re 0.302 0.802 0.604
Te 0.911 0.911 0.822
Te 0.727 0.227 0.454
Tl 0.560 0.560 0.120

## Properties
Mass density in kg/m³: 10555
SG: No. 44

#B
Here is a geometry-optimized TlReTe2 structure from Alexandria via LeMat-Bulk. Energies are from PBEsol.

Lattice parameters (Å, degrees): 3.324 5.150 6.449 113.53 90.00 90.00
Sites, in units of the cell vectors:
Re 0.500 0.135 0.271
Te 0.000 0.307 0.615
Te 0.500 0.622 0.245
Tl 0.000 0.939 0.878

## Properties
Mass density in kg/m³: 10594
SG: No. 38

The structure with the greatest stability is #A.

#A
Here is a geometry-optimized TlReTe structure from Alexandria via LeMat-Bulk. Energies are from PBEsol.

Lattice parameters (Å, degrees): 3.348 3.348 6.725 90.00 90.00 120.00
Sites, in units of the cell vectors:
Tl 0.667 0.333 0.303
Re 0.000 0.000 0.979
Te 0.333 0.667 0.717

## Properties
Mass density in kg/m³: 13184
SG: No. 156

#B
Here is a geometry-optimized TlReTe structure from Alexandria via LeMat-Bulk. Energies are from PBEsol.

Lattice parameters (Å, degrees): 3.200 3.200 6.905 103.40 103.40 90.00
Sites, in units of the cell vectors:
Re 0.016 0.016 0.032
Tl 0.358 0.358 0.715
Te 0.626 0.626 0.252

## Properties
Mass density in kg/m³: 12881
SG: No. 107

#C
Here is a geometry-optimized TlReTe structure from Alexandria via LeMat-Bulk. Energies are from PBEsol.

Lattice parameters (Å, degrees): 3.459 4.610 4.610 120.00 90.00 90.00
Sites, in units of the cell vectors:
Re 0.000 0.000 0.000
Te 0.000 0.333 0.667
Tl 0.500 0.667 0.333

## Properties
Mass density in kg/m³: 13516
SG: No. 187

The structure with the greatest stability is #B.

#A
Here is a geometry-optimized ReTe2W structure from Alexandria via LeMat-Bulk. Energies are from PBEsol.

Lattice parameters (Å, degrees): 3.137 3.137 8.785 90.00 90.00 118.12
Sites, in units of the cell vectors:
W 0.500 0.500 0.500
Re 0.500 0.500 0.000
Te 0.000 0.000 0.753
Te 0.000 0.000 0.247

## Properties
Mass density in kg/m³: 13615
SG: No. 65

#B
Here is a geometry-optimized ReTe2W structure from Alexandria via LeMat-Bulk. Energies are from PBEsol.

Lattice parameters (Å, degrees): 3.203 3.203 9.934 80.72 80.72 60.00
Sites, in units of the cell vectors:
Te 0.771 0.771 0.686
Te 0.979 0.979 0.064
W 0.511 0.511 0.468
Re 0.239 0.239 0.283

## Properties
Mass density in kg/m³: 11974
SG: No. 160

The structure with the greatest stability is #B.

#A
Here is a geometry-optimized ZnRe2Te structure from Alexandria via LeMat-Bulk. Energies are from PBEsol.

Lattice parameters (Å, degrees): 3.186 3.186 6.124 90.00 90.00 90.00
Sites, in units of the cell vectors:
Re 0.000 0.000 0.725
Re 0.000 0.000 0.275
Te 0.500 0.500 0.000
Zn 0.500 0.500 0.500

## Properties
Mass density in kg/m³: 15104
SG: No. 123

#B
Here is a geometry-optimized ZnRe2Te structure from Alexandria via LeMat-Bulk. Energies are from PBEsol.

Lattice parameters (Å, degrees): 2.986 4.215 6.077 110.30 104.22 90.00
Sites, in units of the cell vectors:
Te 0.463 0.463 0.926
Re 0.752 0.252 0.505
Re 0.060 0.060 0.119
Zn 0.225 0.725 0.449

## Properties
Mass density in kg/m³: 13560
SG: No. 44

The structure with the greatest stability is #B.

#A
Here is a geometry-optimized ZnRe2Te structure from Alexandria via LeMat-Bulk. Energies are from PBEsol.

Lattice parameters (Å, degrees): 2.977 2.977 8.199 90.00 90.00 90.00
Sites, in units of the cell vectors:
Te 0.000 0.000 0.450
Re 0.500 0.500 0.211
Re 0.000 0.000 0.019
Zn 0.500 0.500 0.820

## Properties
Mass density in kg/m³: 12920
SG: No. 99

#B
Here is a geometry-optimized ZnRe2Te structure from Alexandria via LeMat-Bulk. Energies are from PBEsol.

Lattice parameters (Å, degrees): 2.840 2.840 9.851 90.00 90.00 117.25
Sites, in units of the cell vectors:
Re 0.000 0.000 0.989
Re 0.500 0.500 0.778
Te 0.000 0.000 0.518
Zn 0.500 0.500 0.214

## Properties
Mass density in kg/m³: 13291
SG: No. 35

The structure with the greatest stability is #A.

#A
Here is a geometry-optimized TlRe3 structure from Alexandria via LeMat-Bulk. Energies are from PBEsol.

Lattice parameters (Å, degrees): 2.919 4.745 5.403 116.05 105.67 90.00
Sites, in units of the cell vectors:
Tl 0.000 0.640 0.000
Re 0.500 0.150 0.000
Re 0.232 0.254 0.464
Re 0.768 0.790 0.536

## Properties
Mass density in kg/m³: 19762
SG: No. 44

#B
Here is a geometry-optimized TlRe3 structure from Alexandria via LeMat-Bulk. Energies are from PBEsol.

Lattice parameters (Å, degrees): 2.866 2.866 9.083 90.00 90.00 120.00
Sites, in units of the cell vectors:
Re 0.000 0.000 0.231
Re 0.333 0.667 0.000
Re 0.000 0.000 0.769
Tl 0.333 0.667 0.500

## Properties
Mass density in kg/m³: 19606
SG: No. 187

The structure with the greatest stability is #B.

#A
Here is a geometry-optimized TlRe structure from Alexandria via LeMat-Bulk. Energies are from PBEsol.

Lattice parameters (Å, degrees): 2.945 2.945 10.208 81.71 81.71 60.00
Sites, in units of the cell vectors:
Tl 0.617 0.617 0.150
Tl 0.383 0.383 0.850
Re 0.134 0.134 0.598
Re 0.866 0.866 0.402

## Properties
Mass density in kg/m³: 17154
SG: No. 166

#B
Here is a geometry-optimized TlRe structure from Alexandria via LeMat-Bulk. Energies are from PBEsol.

Lattice parameters (Å, degrees): 4.344 4.344 4.344 60.00 60.00 60.00
Sites, in units of the cell vectors:
Tl 0.250 0.250 0.250
Re 0.000 0.000 0.000

## Properties
Mass density in kg/m³: 11188
SG: No. 216

The structure with the greatest stability is #A.

#A
Here is a geometry-optimized TlReW2 structure from Alexandria via LeMat-Bulk. Energies are from PBEsol.

Lattice parameters (Å, degrees): 3.984 3.984 4.131 90.00 90.00 90.00
Sites, in units of the cell vectors:
W 0.000 0.500 0.000
W 0.500 0.000 0.000
Re 0.500 0.500 0.500
Tl 0.000 0.000 0.500

## Properties
Mass density in kg/m³: 19206
SG: No. 123

#B
Here is a geometry-optimized TlReW2 structure from Alexandria via LeMat-Bulk. Energies are from PBEsol.

Lattice parameters (Å, degrees): 2.810 2.810 9.288 90.00 90.00 112.40
Sites, in units of the cell vectors:
W 0.000 0.000 0.729
W 0.000 0.000 0.271
Re 0.500 0.500 0.500
Tl 0.500 0.500 0.000

## Properties
Mass density in kg/m³: 18568
SG: No. 65

The structure with the greatest stability is #B.

#A
Here is a geometry-optimized YTlRe2 structure from Alexandria via LeMat-Bulk. Energies are from PBEsol.

Lattice parameters (Å, degrees): 4.032 4.032 5.411 111.88 111.88 90.00
Sites, in units of the cell vectors:
Re 0.250 0.750 0.500
Re 0.750 0.250 0.500
Tl 0.500 0.500 0.000
Y 0.000 0.000 0.000

## Properties
Mass density in kg/m³: 14784
SG: No. 139

#B
Here is a geometry-optimized YTlRe2 structure from Alexandria via LeMat-Bulk. Energies are from PBEsol.

Lattice parameters (Å, degrees): 2.992 2.992 9.868 81.28 81.28 60.00
Sites, in units of the cell vectors:
Y 0.256 0.256 0.232
Re 0.742 0.742 0.774
Re 0.009 0.009 0.974
Tl 0.493 0.493 0.520

## Properties
Mass density in kg/m³: 14674
SG: No. 160

The structure with the greatest stability is #B.

#A
Here is a geometry-optimized Tl2ZnRe structure from Alexandria via LeMat-Bulk. Energies are from PBEsol.

Lattice parameters (Å, degrees): 4.126 4.126 5.221 113.28 113.28 90.00
Sites, in units of the cell vectors:
Re 0.000 0.000 0.000
Tl 0.750 0.250 0.500
Tl 0.250 0.750 0.500
Zn 0.500 0.500 0.000

## Properties
Mass density in kg/m³: 14876
SG: No. 139

#B
Here is a geometry-optimized Tl2ZnRe structure from Alexandria via LeMat-Bulk. Energies are from PBEsol.

Lattice parameters (Å, degrees): 4.746 4.746 4.746 60.00 60.00 60.00
Sites, in units of the cell vectors:
Tl 0.250 0.250 0.250
Tl 0.750 0.750 0.750
Zn 0.500 0.500 0.500
Re 0.000 0.000 0.000

## Properties
Mass density in kg/m³: 14510
SG: No. 225

The structure with the greatest stability is #A.